Record 1
{
  "formula": "ZrNbCd2Ru",
  "functional": "PBE-GGA",
  "state": "relaxed",
  "cell": [[5.276, 0.000, 0.000], [0.000, 4.887, 0.000], [0.000, 0.000, 5.276]],
  "species": ["Ru", "Nb", "Zr", "Cd", "Cd"],
  "fractional_positions": [[0.500, 0.500, 0.500], [0.000, 0.000, 0.000], [0.000, 0.500, 0.000], [0.000, 0.000, 0.500], [0.500, 0.000, 0.000]],
  "magnetic_moment_mub_per_fu": 2.2,
  "ef_mev_per_atom": 1572,
  "volume_a3_per_cell": 136.03,
  "sg": "P4/mmm (123)",
  "crystal_system": "tetragonal"
}



Record 2
{
  "formula": "NbCdS2",
  "functional": "PBE-GGA",
  "state": "relaxed",
  "cell": [[4.505, -6.139, 3.071], [3.286, -7.524, -0.060], [6.212, -5.368, -0.043]],
  "species": ["Nb", "S", "S", "Cd"],
  "fractional_positions": [[0.000, 0.000, 0.000], [0.902, 0.902, 0.902], [0.098, 0.098, 0.098], [0.500, 0.500, 0.500]],
  "magnetic_moment_mub_per_fu": 0.9,
  "e_form_raw_ev_per_atom": 0.06,
  "volume_a3_per_cell": 90.78,
  "sg": "R-3m (166)",
  "crystal_system": "trigonal"
}



Record 3
{
  "formula": "Nb2CdS",
  "functional": "PBE-GGA",
  "state": "relaxed",
  "cell": [[-3.847, -1.232, -1.902], [-1.176, -2.117, 3.751], [-6.343, 5.710, 3.891]],
  "species": ["Nb", "Nb", "Nb", "Nb", "S", "S", "Cd", "Cd"],
  "fractional_positions": [[0.509, 0.125, 0.250], [0.241, 0.625, 0.250], [0.375, 0.491, 0.750], [0.875, 0.759, 0.750], [0.500, 0.500, 0.000], [0.250, 0.750, 0.500], [0.000, 0.000, 0.000], [0.750, 0.250, 0.500]],
  "magnetic_moment_mub_per_fu": 0.0,
  "e_form_raw_ev_per_atom": 0.45,
  "volume_a3_per_cell": 176.07,
  "sg": "I-42d (122)",
  "crystal_system": "tetragonal",
  "e_above_lowest_polymorph_ev_per_fu": 0.76
}